Pm3TmZn2 (PBE, relaxed); offset from the most stable computed form = 0 meV per atom; raw total energy = -45.061 eV per cell; ΔH_f (0 K) = -0.21 eV/atom; symmetry = No. 26
1.0
5.161 0.000 0.000
0.000 9.303 0.000
0.000 0.000 6.716
Pm Tm Zn
6 2 4
direct
0.000 0.054 0.000
0.000 0.334 0.330
0.000 0.666 0.830
0.000 0.946 0.500
0.500 0.177 0.679
0.500 0.823 0.179
0.500 0.446 0.020
0.500 0.554 0.520
0.000 0.348 0.791
0.000 0.652 0.291
0.500 0.156 0.225
0.500 0.844 0.725

***

PuSc2 (PBE, relaxed); offset from the most stable computed form = 0 meV per atom; raw total energy = -26.770 eV per cell; ΔH_f (0 K) = 0.08 eV/atom; symmetry = No. 166
1.0
1.649 0.952 7.876
-1.649 0.952 7.876
0.000 -1.904 7.876
Pu Sc
1 2
direct
0.000 0.000 0.000
0.221 0.221 0.221
0.779 0.779 0.779

***

Ca2AlW (PBE, relaxed); raw total energy = -18.733 eV per cell; ΔH_f (0 K) = 0.49 eV/atom; symmetry = No. 65
1.0
2.077 -2.089 0.000
2.077 2.089 0.000
0.000 0.000 10.125
Ca Al W
2 1 1
direct
0.000 0.000 0.247
0.000 0.000 0.753
0.500 0.500 0.500
0.500 0.500 0.000

***

ZrHg2Br (PBE, relaxed); offset from the most stable computed form = 290 meV per atom; raw total energy = -11.208 eV per cell; symmetry = No. 166
1.0
1.744 1.007 9.248
-1.744 1.007 9.248
0.000 -2.014 9.248
Zr Hg Br
1 2 1
direct
0.000 0.000 0.000
0.250 0.250 0.250
0.750 0.750 0.750
0.500 0.500 0.500

***

> Look up the raw total energy of the first one.

-45.061 eV per cell

***

> Which value of raw total energy does entry 1 give?

-45.061 eV per cell

***

Please write out number 2 again, unchanged.
PuSc2 (PBE, relaxed); offset from the most stable computed form = 0 meV per atom; raw total energy = -26.770 eV per cell; ΔH_f (0 K) = 0.08 eV/atom; symmetry = No. 166
1.0
1.649 0.952 7.876
-1.649 0.952 7.876
0.000 -1.904 7.876
Pu Sc
1 2
direct
0.000 0.000 0.000
0.221 0.221 0.221
0.779 0.779 0.779

***

> Look up the raw total energy of the second one.

-26.770 eV per cell